Record 1
First-principles (PBE) data for crystalline Pm2Al3CdPt4 at its relaxed geometry, as listed in Alexandria.

Unit cell a=4.305 b=4.305 c=10.718 alpha=90.00 beta=90.00 gamma=90.00
Element x y z (fractional)
Pm 0.500 0.000 0.243
Pm 0.000 0.500 0.757
Al 0.000 0.000 0.500
Al 0.500 0.000 0.880
Al 0.000 0.500 0.120
Cd 0.500 0.500 0.500
Pt 0.500 0.500 0.000
Pt 0.000 0.000 0.000
Pt 0.500 0.000 0.652
Pt 0.000 0.500 0.348



Record 2
First-principles (PBE) data for crystalline Pm2Al2CdRh5 at its relaxed geometry, as listed in Alexandria.

Unit cell a=3.550 b=10.045 c=10.045 alpha=90.00 beta=90.00 gamma=90.00
Element x y z (fractional)
Pm 0.000 0.677 0.177
Pm 0.000 0.323 0.823
Pm 0.000 0.177 0.323
Pm 0.000 0.823 0.677
Al 0.000 0.120 0.620
Al 0.000 0.880 0.380
Al 0.000 0.620 0.880
Al 0.000 0.380 0.120
Cd 0.000 0.000 0.000
Cd 0.000 0.500 0.500
Rh 0.500 0.213 0.068
Rh 0.500 0.787 0.932
Rh 0.500 0.068 0.787
Rh 0.500 0.713 0.432
Rh 0.500 0.932 0.213
Rh 0.500 0.287 0.568
Rh 0.500 0.568 0.713
Rh 0.500 0.432 0.287
Rh 0.500 0.500 0.000
Rh 0.500 0.000 0.500



What did we get for ΔE_f? Answer: -939, -681 kJ/mol of formula units, in the order shown.
What did we get for final energy? Answer: -55.544, -123.432 eV per cell, in the order shown.